# Fe3RhBr, optimized geometry, DFT GGA-PBE
# - Uncorrected energy: -5.798 eV/atom
# - Total moment: 2.093 μB/atom
# - Energy relative to the elements, uncorrected: 5.42 eV/f.u.
# - ΔE to the lowest computed polymorph: 0 meV per atom
data_Fe3RhBr
_space_group_name_H-M_alt 'P m -3 m'
_space_group_IT_number 221
_space_group_name_Hall '-P 4 2 3'
_cell_length_a 4.709
_cell_length_b 4.709
_cell_length_c 4.709
_cell_angle_alpha 90.00
_cell_angle_beta 90.00
_cell_angle_gamma 90.00
loop_
_atom_site_label
_atom_site_fract_x
_atom_site_fract_y
_atom_site_fract_z
Fe1 0.000 0.000 0.500
Rh1 0.000 0.000 0.000
Br1 0.500 0.500 0.500

---

# FeRhBr2, optimized geometry, DFT GGA-PBE
# - Uncorrected energy: -4.555 eV/atom
# - Total moment: 1.088 μB/atom
# - Energy relative to the elements, uncorrected: 0.94 eV/f.u.
# - ΔE to the lowest computed polymorph: 262 meV per atom
data_FeRhBr2
_space_group_name_H-M_alt 'I m m 2'
_space_group_IT_number 44
_cell_length_a 3.437
_cell_length_b 3.884
_cell_length_c 13.927
_cell_angle_alpha 90.00
_cell_angle_beta 90.00
_cell_angle_gamma 90.00
loop_
_space_group_symop_operation_xyz
'x,y,z'
'-x,-y,z'
'-x,y,z'
'x,-y,z'
'x+1/2,y+1/2,z+1/2'
'-x+1/2,-y+1/2,z+1/2'
'-x+1/2,y+1/2,z+1/2'
'x+1/2,-y+1/2,z+1/2'
loop_
_atom_site_label
_atom_site_fract_x
_atom_site_fract_y
_atom_site_fract_z
Fe1 0.000 0.000 0.000
Rh1 0.000 0.500 0.371
Br1 0.000 0.000 0.587
Br2 0.000 0.500 0.844

---

# Fe2RhBr, optimized geometry, DFT GGA-PBE
# - Uncorrected energy: -5.931 eV/atom
# - Total moment: 1.602 μB/atom
# - Energy relative to the elements, uncorrected: 2.23 eV/f.u.
# - ΔE to the lowest computed polymorph: 275 meV per atom
data_Fe2RhBr
_space_group_name_H-M_alt 'C 1 2/m 1'
_space_group_IT_number 12
_cell_length_a 9.191
_cell_length_b 3.005
_cell_length_c 4.533
_cell_angle_alpha 90.00
_cell_angle_beta 100.18
_cell_angle_gamma 90.00
loop_
_space_group_symop_operation_xyz
'x,y,z'
'-x,-y,-z'
'-x,y,-z'
'x,-y,z'
'x+1/2,y+1/2,z'
'-x+1/2,-y+1/2,-z'
'-x+1/2,y+1/2,-z'
'x+1/2,-y+1/2,z'
loop_
_atom_site_label
_atom_site_fract_x
_atom_site_fract_y
_atom_site_fract_z
Fe1 0.243 0.000 0.207
Rh1 0.000 0.500 0.000
Br1 0.000 0.000 0.500

---

# ZnFe2RhBr, optimized geometry, DFT GGA-PBE
# - Uncorrected energy: -4.681 eV/atom
# - Total moment: 1.504 μB/atom
# - Energy relative to the elements, uncorrected: 3.82 eV/f.u.
data_ZnFe2RhBr
_space_group_name_H-M_alt 'P 4/m m m'
_space_group_IT_number 123
_space_group_name_Hall '-P 4 2'
_cell_length_a 4.738
_cell_length_b 4.738
_cell_length_c 4.834
_cell_angle_alpha 90.00
_cell_angle_beta 90.00
_cell_angle_gamma 90.00
loop_
_atom_site_label
_atom_site_fract_x
_atom_site_fract_y
_atom_site_fract_z
Zn1 0.000 0.000 0.000
Fe1 0.000 0.500 0.500
Rh1 0.000 0.000 0.500
Br1 0.500 0.500 0.000

---

# FeRu2Br, optimized geometry, DFT GGA-PBE
# - Uncorrected energy: -6.584 eV/atom
# - Total moment: 0.908 μB/atom
# - Energy relative to the elements, uncorrected: 2.35 eV/f.u.
# - ΔE to the lowest computed polymorph: 62 meV per atom
data_FeRu2Br
_space_group_name_H-M_alt 'P 4 m m'
_space_group_IT_number 99
_cell_length_a 2.933
_cell_length_b 2.933
_cell_length_c 7.231
_cell_angle_alpha 90.00
_cell_angle_beta 90.00
_cell_angle_gamma 90.00
loop_
_space_group_symop_operation_xyz
'x,y,z'
'-y,x,z'
'-x,-y,z'
'y,-x,z'
'-x,y,z'
'y,x,z'
'x,-y,z'
'-y,-x,z'
loop_
_atom_site_label
_atom_site_fract_x
_atom_site_fract_y
_atom_site_fract_z
Fe1 0.000 0.000 0.000
Ru1 0.000 0.000 0.461
Ru2 0.500 0.500 0.242
Br1 0.500 0.500 0.741

---

# Fe2RuBr, optimized geometry, DFT GGA-PBE
# - Uncorrected energy: -6.453 eV/atom
# - Total moment: 1.410 μB/atom
# - Energy relative to the elements, uncorrected: 2.06 eV/f.u.
# - ΔE to the lowest computed polymorph: 90 meV per atom
data_Fe2RuBr
_space_group_name_H-M_alt 'P 4 m m'
_space_group_IT_number 99
_cell_length_a 3.047
_cell_length_b 3.047
_cell_length_c 6.606
_cell_angle_alpha 90.00
_cell_angle_beta 90.00
_cell_angle_gamma 90.00
loop_
_space_group_symop_operation_xyz
'x,y,z'
'-y,x,z'
'-x,-y,z'
'y,-x,z'
'-x,y,z'
'y,x,z'
'x,-y,z'
'-y,-x,z'
loop_
_atom_site_label
_atom_site_fract_x
_atom_site_fract_y
_atom_site_fract_z
Fe1 0.000 0.000 0.000
Fe2 0.500 0.500 0.211
Ru1 0.000 0.000 0.402
Br1 0.500 0.500 0.732

---

# Fe2RuBr, optimized geometry, DFT GGA-PBE
# - Uncorrected energy: -6.299 eV/atom
# - Total moment: 1.652 μB/atom
# - Energy relative to the elements, uncorrected: 2.68 eV/f.u.
# - ΔE to the lowest computed polymorph: 244 meV per atom
data_Fe2RuBr
_space_group_name_H-M_alt 'C m m 2'
_space_group_IT_number 35
_cell_length_a 2.983
_cell_length_b 4.874
_cell_length_c 8.544
_cell_angle_alpha 90.00
_cell_angle_beta 90.00
_cell_angle_gamma 90.00
loop_
_space_group_symop_operation_xyz
'x,y,z'
'-x,-y,z'
'-x,y,z'
'x,-y,z'
'x+1/2,y+1/2,z'
'-x+1/2,-y+1/2,z'
'-x+1/2,y+1/2,z'
'x+1/2,-y+1/2,z'
loop_
_atom_site_label
_atom_site_fract_x
_atom_site_fract_y
_atom_site_fract_z
Fe1 0.000 0.000 0.000
Fe2 0.000 0.500 0.225
Ru1 0.000 0.000 0.453
Br1 0.000 0.500 0.754

---

# Fe2RuBr, optimized geometry, DFT GGA-PBE
# - Uncorrected energy: -6.117 eV/atom
# - Total moment: 1.814 μB/atom
# - Energy relative to the elements, uncorrected: 3.41 eV/f.u.
# - ΔE to the lowest computed polymorph: 425 meV per atom
data_Fe2RuBr
_space_group_name_H-M_alt 'I -4 m 2'
_space_group_IT_number 119
_space_group_name_Hall 'I -4 -2'
_cell_length_a 3.722
_cell_length_b 3.722
_cell_length_c 8.652
_cell_angle_alpha 90.00
_cell_angle_beta 90.00
_cell_angle_gamma 90.00
loop_
_atom_site_label
_atom_site_fract_x
_atom_site_fract_y
_atom_site_fract_z
Fe1 0.000 0.000 0.000
Fe2 0.000 0.500 0.250
Ru1 0.000 0.500 0.750
Br1 0.000 0.000 0.500

---

# FeRuBr, optimized geometry, DFT GGA-PBE
# - Uncorrected energy: -5.918 eV/atom
# - Total moment: 1.238 μB/atom
# - Energy relative to the elements, uncorrected: 1.66 eV/f.u.
# - ΔE to the lowest computed polymorph: 0 meV per atom
data_FeRuBr
_space_group_name_H-M_alt 'P 3 m 1'
_space_group_IT_number 156
_cell_length_a 3.2215
_cell_length_b 3.2215
_cell_length_c 5.7174
_cell_angle_alpha 90.00
_cell_angle_beta 90.00
_cell_angle_gamma 120.00
loop_
_space_group_symop_operation_xyz
'x,y,z'
'-y,x-y,z'
'-x+y,-x,z'
'-y,-x,z'
'-x+y,y,z'
'x,x-y,z'
loop_
_atom_site_label
_atom_site_fract_x
_atom_site_fract_y
_atom_site_fract_z
Fe1 0.0000 0.0000 0.0000
Ru1 0.6667 0.3333 0.2684
Br1 0.3333 0.6667 0.6525

---

# FeRu2Br, optimized geometry, DFT GGA-PBE
# - Uncorrected energy: -6.080 eV/atom
# - Total moment: 0.000 μB/atom
# - Energy relative to the elements, uncorrected: 4.37 eV/f.u.
# - ΔE to the lowest computed polymorph: 567 meV per atom
data_FeRu2Br
_space_group_name_H-M_alt 'I -4 2 d'
_space_group_IT_number 122
_space_group_name_Hall 'I -4 2bw'
_cell_length_a 5.606
_cell_length_b 5.606
_cell_length_c 10.111
_cell_angle_alpha 90.00
_cell_angle_beta 90.00
_cell_angle_gamma 90.00
loop_
_atom_site_label
_atom_site_fract_x
_atom_site_fract_y
_atom_site_fract_z
Fe1 0.000 0.000 0.000
Ru1 0.209 0.250 0.125
Br1 0.000 0.000 0.500

---

# FeRu2Br, optimized geometry, DFT GGA-PBE
# - Uncorrected energy: -6.381 eV/atom
# - Total moment: 0.952 μB/atom
# - Energy relative to the elements, uncorrected: 3.16 eV/f.u.
# - ΔE to the lowest computed polymorph: 265 meV per atom
data_FeRu2Br
_space_group_name_H-M_alt 'P 1 2/m 1'
_space_group_IT_number 10
_cell_length_a 2.886
_cell_length_b 4.216
_cell_length_c 5.442
_cell_angle_alpha 90.00
_cell_angle_beta 103.74
_cell_angle_gamma 90.00
loop_
_space_group_symop_operation_xyz
'x,y,z'
'-x,-y,-z'
'-x,y,-z'
'x,-y,z'
loop_
_atom_site_label
_atom_site_fract_x
_atom_site_fract_y
_atom_site_fract_z
Fe1 0.000 0.000 0.000
Ru1 0.378 0.500 0.212
Br1 0.500 0.000 0.500

---

# Fe2RuBr, optimized geometry, DFT GGA-PBE
# - Uncorrected energy: -6.423 eV/atom
# - Total moment: 1.830 μB/atom
# - Energy relative to the elements, uncorrected: 2.18 eV/f.u.
# - ΔE to the lowest computed polymorph: 119 meV per atom
data_Fe2RuBr
_space_group_name_H-M_alt 'P 4/m m m'
_space_group_IT_number 123
_space_group_name_Hall '-P 4 2'
_cell_length_a 3.064
_cell_length_b 3.064
_cell_length_c 6.879
_cell_angle_alpha 90.00
_cell_angle_beta 90.00
_cell_angle_gamma 90.00
loop_
_atom_site_label
_atom_site_fract_x
_atom_site_fract_y
_atom_site_fract_z
Fe1 0.000 0.000 0.209
Ru1 0.500 0.500 0.000
Br1 0.500 0.500 0.500

---

# Fe2RuBr, optimized geometry, DFT GGA-PBE
# - Uncorrected energy: -6.092 eV/atom
# - Total moment: 1.707 μB/atom
# - Energy relative to the elements, uncorrected: 3.51 eV/f.u.
# - ΔE to the lowest computed polymorph: 450 meV per atom
data_Fe2RuBr
_space_group_name_H-M_alt 'I 4/m m m'
_space_group_IT_number 139
_space_group_name_Hall '-I 4 2'
_cell_length_a 3.778
_cell_length_b 3.778
_cell_length_c 8.316
_cell_angle_alpha 90.00
_cell_angle_beta 90.00
_cell_angle_gamma 90.00
loop_
_atom_site_label
_atom_site_fract_x
_atom_site_fract_y
_atom_site_fract_z
Fe1 0.000 0.500 0.250
Ru1 0.000 0.000 0.000
Br1 0.000 0.000 0.500

---

# Fe2RuBr, optimized geometry, DFT GGA-PBE
# - Uncorrected energy: -6.026 eV/atom
# - Total moment: 1.854 μB/atom
# - Energy relative to the elements, uncorrected: 3.77 eV/f.u.
# - ΔE to the lowest computed polymorph: 517 meV per atom
data_Fe2RuBr
_space_group_name_H-M_alt 'F m -3 m'
_space_group_IT_number 225
_space_group_name_Hall '-F 4 2 3'
_cell_length_a 6.234
_cell_length_b 6.234
_cell_length_c 6.234
_cell_angle_alpha 90.00
_cell_angle_beta 90.00
_cell_angle_gamma 90.00
loop_
_atom_site_label
_atom_site_fract_x
_atom_site_fract_y
_atom_site_fract_z
Fe1 0.250 0.250 0.250
Ru1 0.000 0.000 0.000
Br1 0.000 0.000 0.500

---

# FeRu2Br, optimized geometry, DFT GGA-PBE
# - Uncorrected energy: -6.573 eV/atom
# - Total moment: 0.814 μB/atom
# - Energy relative to the elements, uncorrected: 2.39 eV/f.u.
# - ΔE to the lowest computed polymorph: 73 meV per atom
data_FeRu2Br
_space_group_name_H-M_alt 'P 4/m m m'
_space_group_IT_number 123
_space_group_name_Hall '-P 4 2'
_cell_length_a 3.026
_cell_length_b 3.026
_cell_length_c 6.622
_cell_angle_alpha 90.00
_cell_angle_beta 90.00
_cell_angle_gamma 90.00
loop_
_atom_site_label
_atom_site_fract_x
_atom_site_fract_y
_atom_site_fract_z
Fe1 0.000 0.000 0.000
Ru1 0.500 0.500 0.211
Br1 0.000 0.000 0.500